A plane-wave DFT calculation with PBE-GGA was carried out for an optimized crystal structure of MgTeIrI2.

Cell and atoms, written as CIF:
```
data_MgTeIrI2
_chemical_formula_sum 'Mg1 Te1 Ir1 I2'
_cell_length_a 5.532
_cell_length_b 5.532
_cell_length_c 5.187
_cell_angle_alpha 90.00
_cell_angle_beta 90.00
_cell_angle_gamma 90.00
_space_group_name_H-M_alt 'P 4/m m m'
_space_group_IT_number 123
_space_group_name_Hall '-P 4 2'
loop_
_atom_site_label
_atom_site_fract_x
_atom_site_fract_y
_atom_site_fract_z
_atom_site_occupancy
Mg1 0.000 0.000 0.000 1
Te1 0.500 0.500 0.000 1
Ir1 0.500 0.500 0.500 1
I1 0.000 0.500 0.500 1
```

Values from the calculation:
formation energy (no corrections): 0.26 eV per atom
crystal system: tetragonal
density of states at the Fermi level: 2.5 states/eV per cell
ΔE to the lowest computed polymorph: 0.000 eV/atom
final energy: -3.080 eV per atom

=====

A plane-wave DFT calculation with PBE-GGA was carried out for an optimized crystal structure of BSbH.

Cell and atoms, written as CIF:
```
data_BSbH
_chemical_formula_sum 'B2 Sb2 H2'
_cell_length_a 3.725
_cell_length_b 4.728
_cell_length_c 6.195
_cell_angle_alpha 74.19
_cell_angle_beta 81.42
_cell_angle_gamma 83.38
_space_group_name_H-M_alt 'P -1'
_space_group_IT_number 2
loop_
_space_group_symop_operation_xyz
'x,y,z'
'-x,-y,-z'
loop_
_atom_site_label
_atom_site_fract_x
_atom_site_fract_y
_atom_site_fract_z
_atom_site_occupancy
B1 0.093 0.472 0.122 1
Sb1 0.476 0.259 0.812 1
H1 0.050 0.259 0.281 1
```

Values from the calculation:
crystal system: triclinic
ΔE to the lowest computed polymorph: 0.064 eV/atom
final energy: -4.487 eV per atom

=====

A plane-wave DFT calculation with PBE-GGA was carried out for an optimized crystal structure of BiPSe4.

Cell and atoms, written as CIF:
```
data_BiPSe4
_chemical_formula_sum 'Bi4 P4 Se16'
_cell_length_a 6.901
_cell_length_b 12.964
_cell_length_c 9.977
_cell_angle_alpha 90.00
_cell_angle_beta 105.85
_cell_angle_gamma 90.00
_space_group_name_H-M_alt 'C 1 2/c 1'
_space_group_IT_number 15
loop_
_space_group_symop_operation_xyz
'x,y,z'
'-x,-y,-z'
'-x,y,-z+1/2'
'x,-y,z+1/2'
'x+1/2,y+1/2,z'
'-x+1/2,-y+1/2,-z'
'-x+1/2,y+1/2,-z+1/2'
'x+1/2,-y+1/2,z+1/2'
loop_
_atom_site_label
_atom_site_fract_x
_atom_site_fract_y
_atom_site_fract_z
_atom_site_occupancy
Bi1 0.000 0.170 0.250 1
P1 0.000 0.368 0.750 1
Se1 0.094 0.267 0.597 1
Se2 0.237 0.029 0.152 1
```

Values from the calculation:
formation energy (no corrections): -0.11 eV per atom
crystal system: monoclinic
final energy: -3.985 eV per atom

=====

A plane-wave DFT calculation with PBE-GGA was carried out for an optimized crystal structure of Ho7InCo4Ge12.

Cell and atoms, written as CIF:
```
data_Ho7InCo4Ge12
_chemical_formula_sum 'Ho7 In1 Co4 Ge12'
_cell_length_a 10.349
_cell_length_b 10.349
_cell_length_c 4.192
_cell_angle_alpha 90.00
_cell_angle_beta 90.00
_cell_angle_gamma 90.00
_space_group_name_H-M_alt 'P 4/m'
_space_group_IT_number 83
loop_
_space_group_symop_operation_xyz
'x,y,z'
'-x,-y,-z'
'-y,x,z'
'y,-x,-z'
'-x,-y,z'
'x,y,-z'
'y,-x,z'
'-y,x,-z'
loop_
_atom_site_label
_atom_site_fract_x
_atom_site_fract_y
_atom_site_fract_z
_atom_site_occupancy
Ho1 0.000 0.000 0.000 1
Ho2 0.000 0.500 0.500 1
Ho3 0.322 0.674 0.500 1
In1 0.500 0.500 0.000 1
Co1 0.117 0.277 0.000 1
Ge1 0.065 0.196 0.500 1
Ge2 0.113 0.714 0.000 1
Ge3 0.213 0.485 0.000 1
```

Values from the calculation:
crystal system: tetragonal
energy of formation from the pure elements: -681 meV/atom
density of states at the Fermi level: 13.2 states/eV per cell
final energy: -5.623 eV per atom